Record 1
A plane-wave DFT calculation with PBE was carried out for SrY4PbS8 after structural relaxation.

Geometry as extended XYZ:
```
14
Lattice="4.072 2.351 6.946 -4.072 2.351 6.946 0.000 -4.702 6.946" Properties=species:S:1:pos:R:3 pbc="T T T"
Sr 0.000 0.000 0.000
Y 0.000 -2.318 3.441
Y -2.007 1.159 3.441
Y 2.007 1.159 3.441
Y 0.000 0.000 12.986
Pb 0.000 0.000 7.804
S -2.103 -1.214 11.975
S 0.000 0.000 4.854
S 0.000 -2.517 8.903
S -2.180 1.259 8.903
S 2.103 -1.214 11.975
S 0.000 2.428 11.975
S 0.000 0.000 15.743
S 2.180 1.259 8.903
```

* symmetry: No. 160
* formation energy without anion corrections: -173.9 kJ/mol of atoms



Record 2
A plane-wave DFT calculation with PBE was carried out for BeZn2Hg after structural relaxation.

Geometry as extended XYZ:
```
8
Lattice="2.717 0.000 0.000 0.000 4.267 0.000 0.000 0.000 11.213" Properties=species:S:1:pos:R:3 pbc="T T T"
Be 0.000 0.000 0.000
Be 1.359 2.133 5.607
Zn 0.000 2.133 3.361
Zn 0.000 2.133 7.852
Zn 1.359 0.000 2.245
Zn 1.359 0.000 8.968
Hg 0.000 0.000 5.607
Hg 1.359 2.133 0.000
```

* symmetry: No. 71
* energy of formation: 0.2377 eV per atom



no.,volume (Å³ per cell),magnetization (μB/cell)
1,399.05,0.0
2,130.00,0.0